DFT (PBE) results for an optimized crystal structure of Ta2Co2MoOs5.

a = 8.6498 Å, b = 8.6498 Å, c = 3.9525 Å
α = 90.00°, β = 90.00°, γ = 90.00°
Last column: nearest neighbours and their distance in Å.
Fractional coordinates of all 20 atoms:
1 Ta 0.1676 0.3324 0.0000  3 Co 2.52-2.57
2 Ta 0.3324 0.8324 0.0000  3 Co 2.52-2.57
3 Ta 0.6676 0.1676 0.0000  3 Co 2.52-2.57
4 Ta 0.8324 0.6676 0.0000  3 Co 2.52-2.57
5 Co 0.1267 0.6267 0.0000  6 Os 2.51, 3 Ta 2.52-2.57
6 Co 0.3733 0.1267 0.0000  6 Os 2.51, 3 Ta 2.52-2.57
7 Co 0.6267 0.8733 0.0000  6 Os 2.51, 3 Ta 2.52-2.57
8 Co 0.8733 0.3733 0.0000  6 Os 2.51, 3 Ta 2.52-2.57
9 Mo 0.0000 0.0000 0.0000  8 Os 2.72
10 Mo 0.5000 0.5000 0.0000  8 Os 2.72
11 Os 0.0000 0.5000 0.5000  4 Co 2.51, 4 Os 2.65
12 Os 0.0725 0.7972 0.5000  2 Co 2.51, 4 Os 2.63-2.75, 2 Mo 2.72
13 Os 0.2028 0.0725 0.5000  2 Co 2.51, 4 Os 2.63-2.75, 2 Mo 2.72
14 Os 0.2972 0.5725 0.5000  2 Co 2.51, 4 Os 2.63-2.75, 2 Mo 2.72
15 Os 0.4275 0.2972 0.5000  2 Co 2.51, 4 Os 2.63-2.75, 2 Mo 2.72
16 Os 0.5000 0.0000 0.5000  4 Co 2.51, 4 Os 2.65
17 Os 0.5725 0.7028 0.5000  2 Co 2.51, 4 Os 2.63-2.75, 2 Mo 2.72
18 Os 0.7028 0.4275 0.5000  2 Co 2.51, 4 Os 2.63-2.75, 2 Mo 2.72
19 Os 0.7972 0.9275 0.5000  2 Co 2.51, 4 Os 2.63-2.75, 2 Mo 2.72
20 Os 0.9275 0.2028 0.5000  2 Co 2.51, 4 Os 2.63-2.75, 2 Mo 2.72

## Properties
Mass density   17.1 g/cm³
VASP energy   -10.469 eV per atom
Total magnetic moment   0.00 μB/cell
Energy of formation   20 meV/atom
Space group   P4/mbm
Crystal system   tetragonal